(1)
{
  "formula": "CdAs2F",
  "functional": "PBE",
  "state": "optimized geometry",
  "lattice": [[6.546, 0.000, 0.000], [0.000, 6.546, 0.000], [0.000, 0.000, 6.546]],
  "species": ["Cd", "Cd", "Cd", "Cd", "As", "As", "As", "As", "As", "As", "As", "As", "F", "F", "F", "F"],
  "fractional_positions": [[0.000, 0.000, 0.000], [0.000, 0.500, 0.500], [0.500, 0.000, 0.500], [0.500, 0.500, 0.000], [0.250, 0.250, 0.250], [0.250, 0.250, 0.750], [0.250, 0.750, 0.250], [0.250, 0.750, 0.750], [0.750, 0.250, 0.250], [0.750, 0.250, 0.750], [0.750, 0.750, 0.250], [0.750, 0.750, 0.750], [0.000, 0.000, 0.500], [0.000, 0.500, 0.000], [0.500, 0.000, 0.000], [0.500, 0.500, 0.500]],
  "sg": "Fm-3m",
  "polymorph_energy_mev_per_atom": 292.7,
  "raw_formation_energy_ev_per_atom": -0.212,
  "volume_a3_per_atom": 17.531
}



(2)
{
  "formula": "CdAgN2O",
  "functional": "PBE",
  "state": "optimized geometry",
  "lattice": [[4.310, 0.000, 0.000], [0.000, 4.310, 0.000], [0.000, 0.000, 4.276]],
  "species": ["Cd", "Ag", "N", "N", "O"],
  "fractional_positions": [[0.000, 0.000, 0.000], [0.500, 0.500, 0.500], [0.000, 0.500, 0.000], [0.500, 0.000, 0.000], [0.000, 0.000, 0.500]],
  "sg": "P4/mmm",
  "raw_formation_energy_ev_per_atom": 1.733,
  "volume_a3_per_atom": 15.889
}



(3)
{
  "formula": "Al2PW",
  "functional": "PBE",
  "state": "optimized geometry",
  "lattice": [[3.822, 0.000, 0.000], [0.000, 3.822, 0.000], [0.000, 0.000, 8.113]],
  "species": ["Al", "Al", "Al", "Al", "P", "P", "W", "W"],
  "fractional_positions": [[0.000, 0.000, 0.000], [0.000, 0.500, 0.250], [0.500, 0.000, 0.750], [0.500, 0.500, 0.500], [0.000, 0.500, 0.750], [0.500, 0.000, 0.250], [0.000, 0.000, 0.500], [0.500, 0.500, 0.000]],
  "sg": "I-4m2",
  "delta_e_f_ev_per_fu": 0.790,
  "volume_a3_per_atom": 14.816
}



(4)
{
  "formula": "NaCaCo2",
  "functional": "PBE",
  "state": "optimized geometry",
  "lattice": [[7.714, 0.000, 0.000], [0.000, 7.714, 0.000], [0.000, 0.000, 5.241]],
  "species": ["Na", "Na", "Na", "Na", "Ca", "Ca", "Ca", "Ca", "Co", "Co", "Co", "Co", "Co", "Co", "Co", "Co"],
  "fractional_positions": [[0.000, 0.000, 0.000], [0.000, 0.500, 0.250], [0.500, 0.000, 0.750], [0.500, 0.500, 0.500], [0.000, 0.000, 0.500], [0.000, 0.500, 0.750], [0.500, 0.000, 0.250], [0.500, 0.500, 0.000], [0.239, 0.750, 0.125], [0.250, 0.239, 0.875], [0.250, 0.261, 0.375], [0.261, 0.750, 0.625], [0.739, 0.250, 0.625], [0.750, 0.739, 0.375], [0.750, 0.761, 0.875], [0.761, 0.250, 0.125]],
  "sg": "I-42d",
  "delta_e_f_ev_per_fu": 3.475,
  "polymorph_energy_mev_per_atom": 18.8,
  "volume_a3_per_atom": 19.489
}



(5)
{
  "formula": "SrTa2Cr",
  "functional": "PBE",
  "state": "optimized geometry",
  "lattice": [[3.223, 0.000, 0.000], [0.000, 4.263, 0.000], [0.000, 0.000, 14.046]],
  "species": ["Sr", "Sr", "Ta", "Ta", "Ta", "Ta", "Cr", "Cr"],
  "fractional_positions": [[0.000, 0.000, 0.000], [0.500, 0.500, 0.500], [0.000, 0.000, 0.664], [0.000, 0.500, 0.787], [0.500, 0.000, 0.287], [0.500, 0.500, 0.164], [0.000, 0.500, 0.294], [0.500, 0.000, 0.794]],
  "sg": "Imm2",
  "delta_e_f_ev_per_fu": 3.178,
  "polymorph_energy_mev_per_atom": 204.9,
  "volume_a3_per_atom": 24.122
}



(6)
{
  "formula": "Ho3SiC",
  "functional": "PBE",
  "state": "optimized geometry",
  "lattice": [[4.790, 0.000, 0.000], [0.000, 4.792, 0.000], [-2.394, 0.000, 9.957]],
  "species": ["Ho", "Ho", "Ho", "Ho", "Ho", "Ho", "Si", "Si", "C", "C"],
  "fractional_positions": [[0.061, 0.250, 0.123], [0.192, 0.750, 0.385], [0.425, 0.250, 0.850], [0.575, 0.750, 0.150], [0.808, 0.250, 0.615], [0.939, 0.750, 0.877], [0.338, 0.750, 0.678], [0.662, 0.250, 0.322], [0.071, 0.750, 0.143], [0.929, 0.250, 0.857]],
  "sg": "P2_1/m",
  "raw_formation_energy_ev_per_atom": -0.414,
  "volume_a3_per_atom": 22.854
}



(7)
{
  "formula": "YSi2W",
  "functional": "PBE",
  "state": "optimized geometry",
  "lattice": [[3.944, 0.000, 0.000], [0.000, 3.944, 0.000], [0.000, 0.000, 8.999]],
  "species": ["Y", "Y", "Si", "Si", "Si", "Si", "W", "W"],
  "fractional_positions": [[0.000, 0.000, 0.000], [0.500, 0.500, 0.500], [0.000, 0.000, 0.500], [0.000, 0.500, 0.750], [0.500, 0.000, 0.250], [0.500, 0.500, 0.000], [0.000, 0.500, 0.250], [0.500, 0.000, 0.750]],
  "sg": "I-4m2",
  "polymorph_energy_mev_per_atom": 502.8,
  "raw_formation_energy_ev_per_atom": 0.156,
  "volume_a3_per_atom": 17.497
}



(8)
{
  "formula": "Cu2SiS3",
  "functional": "PBE",
  "state": "optimized geometry",
  "lattice": [[3.177, -5.590, 0.000], [3.177, 5.590, 0.000], [-2.000, 0.000, 6.022]],
  "species": ["Cu", "Cu", "Cu", "Cu", "Si", "Si", "S", "S", "S", "S", "S", "S"],
  "fractional_positions": [[0.087, 0.913, 0.500], [0.252, 0.741, 0.002], [0.741, 0.252, 0.502], [0.913, 0.087, 0.000], [0.391, 0.560, 0.478], [0.560, 0.391, 0.978], [0.040, 0.210, 0.382], [0.210, 0.040, 0.882], [0.375, 0.853, 0.381], [0.535, 0.686, 0.853], [0.686, 0.535, 0.353], [0.853, 0.375, 0.881]],
  "sg": "Cc",
  "raw_formation_energy_ev_per_atom": -0.444,
  "volume_a3_per_atom": 17.823
}



(9)
{
  "formula": "YHgIr2",
  "functional": "PBE",
  "state": "optimized geometry",
  "lattice": [[3.139, 0.000, 0.000], [0.000, 4.417, 0.000], [-0.119, 0.000, 5.821]],
  "species": ["Y", "Hg", "Ir", "Ir"],
  "fractional_positions": [[0.000, 0.000, 0.000], [0.500, 0.000, 0.500], [0.483, 0.500, 0.777], [0.517, 0.500, 0.223]],
  "sg": "P2/m",
  "delta_e_f_ev_per_fu": -0.062,
  "volume_a3_per_atom": 20.176
}



(10)
{
  "formula": "RbTlPbBr4",
  "functional": "PBE",
  "state": "optimized geometry",
  "lattice": [[5.957, 0.000, 0.000], [0.000, 5.957, 0.000], [0.000, 0.000, 17.117]],
  "species": ["Rb", "Rb", "Tl", "Tl", "Pb", "Pb", "Br", "Br", "Br", "Br", "Br", "Br", "Br", "Br"],
  "fractional_positions": [[0.000, 0.000, 0.000], [0.500, 0.500, 0.500], [0.000, 0.000, 0.723], [0.500, 0.500, 0.223], [0.000, 0.000, 0.365], [0.500, 0.500, 0.865], [0.000, 0.000, 0.195], [0.000, 0.000, 0.548], [0.000, 0.500, 0.370], [0.000, 0.500, 0.870], [0.500, 0.000, 0.370], [0.500, 0.000, 0.870], [0.500, 0.500, 0.048], [0.500, 0.500, 0.695]],
  "sg": "I4mm",
  "raw_formation_energy_ev_per_atom": -1.099,
  "volume_a3_per_atom": 43.384
}



(11)
{
  "formula": "SbIrRh2",
  "functional": "PBE",
  "state": "optimized geometry",
  "lattice": [[4.029, 0.000, 0.000], [0.000, 4.029, 0.000], [0.000, 0.000, 7.739]],
  "species": ["Sb", "Sb", "Ir", "Ir", "Rh", "Rh", "Rh", "Rh"],
  "fractional_positions": [[0.000, 0.000, 0.000], [0.500, 0.500, 0.500], [0.000, 0.000, 0.500], [0.500, 0.500, 0.000], [0.000, 0.500, 0.250], [0.000, 0.500, 0.750], [0.500, 0.000, 0.250], [0.500, 0.000, 0.750]],
  "sg": "I4/mmm",
  "raw_formation_energy_ev_per_atom": -0.045,
  "volume_a3_per_atom": 15.706
}



(12)
{
  "formula": "FeNi2HPt",
  "functional": "PBE",
  "state": "optimized geometry",
  "lattice": [[3.726, 0.000, 0.000], [0.000, 3.726, 0.000], [0.000, 0.000, 3.815]],
  "species": ["Fe", "Ni", "Ni", "H", "Pt"],
  "fractional_positions": [[0.000, 0.000, 0.000], [0.000, 0.500, 0.500], [0.500, 0.000, 0.500], [0.500, 0.500, 0.500], [0.500, 0.500, 0.000]],
  "sg": "P4/mmm",
  "polymorph_energy_mev_per_atom": 25.7,
  "volume_a3_per_atom": 10.592
}